A geometry-optimized CaScCo2N structure. Source: Alexandria via LeMat-Bulk, functional PBE.

The structure in POSCAR format:
```
CaScCo2N
1.0
4.100 0.000 0.000
0.000 4.100 0.000
0.000 0.000 4.241
Ca Sc Co N
1 1 2 1
Direct
0.000 0.000 0.000
0.500 0.500 0.000
0.000 0.500 0.500
0.500 0.000 0.500
0.500 0.500 0.500
```

Calculated values
Symmetry: No. 123
E: -6.23 eV/atom

=====

A geometry-optimized Na2Ta3Se6 structure. Source: Alexandria via LeMat-Bulk, functional PBE.

The structure in POSCAR format:
```
Na2Ta3Se6
1.0
3.050 1.761 15.353
-3.050 1.761 15.353
0.000 -3.522 15.353
Na Ta Se
4 6 12
Direct
0.083 0.083 0.083
0.416 0.416 0.416
0.584 0.584 0.584
0.917 0.917 0.917
0.000 0.000 0.000
0.166 0.500 0.834
0.333 0.333 0.333
0.500 0.834 0.166
0.667 0.667 0.667
0.834 0.166 0.500
0.034 0.703 0.371
0.130 0.797 0.465
0.203 0.870 0.535
0.297 0.966 0.629
0.371 0.034 0.703
0.465 0.130 0.797
0.535 0.203 0.870
0.629 0.297 0.966
0.703 0.371 0.034
0.797 0.465 0.130
0.870 0.535 0.203
0.966 0.629 0.297
```

Calculated values
Symmetry: No. 155
E: -6.32 eV/atom

=====

A geometry-optimized MgBeB5 structure. Source: Alexandria via LeMat-Bulk, functional PBE.

The structure in POSCAR format:
```
MgBeB5
1.0
4.933 -1.734 0.000
4.933 1.734 0.000
-0.087 0.000 8.849
Mg Be B
2 2 10
Direct
0.000 0.500 0.000
0.500 0.000 0.500
0.109 0.891 0.250
0.891 0.109 0.750
0.079 0.788 0.583
0.212 0.921 0.917
0.349 0.606 0.421
0.389 0.611 0.750
0.394 0.651 0.079
0.606 0.349 0.921
0.611 0.389 0.250
0.651 0.394 0.579
0.788 0.079 0.083
0.921 0.212 0.417
```

Calculated values
Formation energy: 0.34 eV per atom
Symmetry: No. 15
E: -5.19 eV/atom

=====

A geometry-optimized Ti4Zn3Fe structure. Source: Alexandria via LeMat-Bulk, functional PBE.

The structure in POSCAR format:
```
Ti4Zn3Fe
1.0
3.032 0.000 0.000
0.000 3.032 0.000
0.000 0.000 12.979
Ti Zn Fe
4 3 1
Direct
0.000 0.000 0.110
0.000 0.000 0.370
0.000 0.000 0.630
0.000 0.000 0.890
0.500 0.500 0.241
0.500 0.500 0.500
0.500 0.500 0.759
0.500 0.500 0.000
```

Calculated values
Formation energy: -0.23 eV per atom
Symmetry: No. 123
E: -5.71 eV/atom

=====

A geometry-optimized Dy5Al4Ag structure. Source: Alexandria via LeMat-Bulk, functional PBE.

The structure in POSCAR format:
```
Dy5Al4Ag
1.0
3.573 0.000 0.000
0.000 3.573 0.000
0.000 0.000 18.394
Dy Al Ag
5 4 1
Direct
0.000 0.000 0.000
0.000 0.000 0.197
0.000 0.000 0.397
0.000 0.000 0.603
0.000 0.000 0.803
0.500 0.500 0.099
0.500 0.500 0.298
0.500 0.500 0.702
0.500 0.500 0.901
0.500 0.500 0.500
```

Calculated values
Formation energy: -0.38 eV per atom
Symmetry: No. 123
E: -4.46 eV/atom

=====

A geometry-optimized CeScMnZn structure. Source: Alexandria via LeMat-Bulk, functional PBE.

The structure in POSCAR format:
```
CeScMnZn
1.0
6.866 0.000 0.000
0.000 6.866 0.000
0.000 0.000 6.866
Ce Sc Mn Zn
4 4 4 4
Direct
0.000 0.000 0.000
0.000 0.500 0.500
0.500 0.000 0.500
0.500 0.500 0.000
0.000 0.000 0.500
0.000 0.500 0.000
0.500 0.000 0.000
0.500 0.500 0.500
0.250 0.250 0.250
0.250 0.750 0.750
0.750 0.250 0.750
0.750 0.750 0.250
0.250 0.250 0.750
0.250 0.750 0.250
0.750 0.250 0.250
0.750 0.750 0.750
```

Calculated values
Formation energy: -0.04 eV per atom
Symmetry: No. 216
E: -5.72 eV/atom

=====

A geometry-optimized TaRhCl2 structure. Source: Alexandria via LeMat-Bulk, functional PBE.

The structure in POSCAR format:
```
TaRhCl2
1.0
4.079 0.000 0.000
0.000 4.079 0.000
0.000 0.000 7.757
Ta Rh Cl
2 2 4
Direct
0.000 0.000 0.000
0.500 0.500 0.500
0.000 0.000 0.500
0.500 0.500 0.000
0.000 0.500 0.250
0.000 0.500 0.750
0.500 0.000 0.250
0.500 0.000 0.750
```

Calculated values
Symmetry: No. 139
E: -5.25 eV/atom

=====

A geometry-optimized Nd4SmBi2 structure. Source: Alexandria via LeMat-Bulk, functional PBE.

The structure in POSCAR format:
```
Nd4SmBi2
1.0
5.491 0.000 0.000
0.000 5.491 0.000
0.000 0.000 17.287
Nd Sm Bi
8 2 4
Direct
0.000 0.000 0.182
0.000 0.000 0.818
0.000 0.500 0.000
0.000 0.500 0.500
0.500 0.000 0.000
0.500 0.000 0.500
0.500 0.500 0.318
0.500 0.500 0.682
0.000 0.000 0.000
0.500 0.500 0.500
0.000 0.000 0.366
0.000 0.000 0.634
0.500 0.500 0.134
0.500 0.500 0.866
```

Calculated values
Formation energy: 0.17 eV per atom
Symmetry: No. 139
E: -4.34 eV/atom